Pd3Pt2Rh2 (PBE, optimized geometry); distance to the lowest polymorph of the same formula = 0 meV per atom; space-group type = C2/m (12); crystal system = monoclinic; formation energy from the elements = 21 meV/atom; DOS(E_F) = 2.100 states/eV per atom
1.0
8.760 0.000 0.000
0.000 3.922 0.000
-0.868 0.000 6.144
Pd Pt Rh
6 4 4
Direct
0.000 0.000 0.000
0.213 0.500 0.142
0.287 0.000 0.858
0.500 0.500 0.000
0.713 0.000 0.142
0.787 0.500 0.858
0.142 0.000 0.429
0.358 0.500 0.571
0.642 0.500 0.429
0.858 0.000 0.571
0.071 0.500 0.708
0.429 0.000 0.292
0.571 0.000 0.708
0.929 0.500 0.292

Li3ZnAg12 (PBE, optimized geometry); space-group type = P4/mmm (123); crystal system = tetragonal; formation energy from the elements = -98 meV/atom; DOS(E_F) = 0.323 states/eV per atom
1.0
4.076 0.000 0.000
0.000 4.076 0.000
0.000 0.000 16.425
Li Zn Ag
3 1 12
Direct
0.000 0.000 0.000
0.000 0.000 0.248
0.000 0.000 0.752
0.000 0.000 0.500
0.000 0.500 0.125
0.000 0.500 0.374
0.000 0.500 0.626
0.000 0.500 0.875
0.500 0.000 0.125
0.500 0.000 0.374
0.500 0.000 0.626
0.500 0.000 0.875
0.500 0.500 0.000
0.500 0.500 0.249
0.500 0.500 0.500
0.500 0.500 0.751

CaAg2Sb (PBE, optimized geometry); energy relative to the elements, uncorrected = -250 meV per atom; space-group type = C2/m (12); crystal system = monoclinic; DOS(E_F) = 0.307 states/eV per atom
1.0
10.450 0.000 0.000
0.000 3.345 0.000
-0.591 0.000 5.306
Ca Ag Sb
2 4 2
Direct
0.000 0.000 0.000
0.500 0.500 0.000
0.247 0.500 0.239
0.253 0.000 0.761
0.747 0.000 0.239
0.753 0.500 0.761
0.000 0.500 0.500
0.500 0.000 0.500

Ge4IrRh (PBE, optimized geometry); distance to the lowest polymorph of the same formula = 0 meV per atom; space-group type = C2/c (15); crystal system = monoclinic; formation energy from the elements = -278 meV/atom; DOS(E_F) = 0.470 states/eV per atom
1.0
4.202 -4.230 0.000
4.202 4.230 0.000
-4.025 0.000 5.976
Ge Ir Rh
8 2 2
Direct
0.004 0.252 0.499
0.245 0.497 0.002
0.252 0.004 0.999
0.497 0.245 0.502
0.503 0.755 0.498
0.748 0.996 0.001
0.755 0.503 0.998
0.996 0.748 0.501
0.375 0.625 0.750
0.625 0.375 0.250
0.125 0.875 0.250
0.875 0.125 0.750

MnSi2Tc (PBE, optimized geometry); energy relative to the elements, uncorrected = -365 meV per atom; distance to the lowest polymorph of the same formula = 0 meV per atom; space-group type = P4mm (99); crystal system = tetragonal; DOS(E_F) = 0.766 states/eV per atom
1.0
3.060 0.000 0.000
0.000 3.060 0.000
0.000 0.000 5.333
Mn Si Tc
1 2 1
Direct
0.000 0.000 0.000
0.000 0.000 0.458
0.500 0.500 0.191
0.500 0.500 0.675

CsHgRu2 (PBE, optimized geometry); space-group type = I-42d (122); crystal system = tetragonal; formation energy from the elements = 1124 meV/atom; DOS(E_F) = 1.241 states/eV per atom
1.0
4.776 0.000 0.000
0.000 4.776 0.000
0.000 0.000 20.299
Cs Hg Ru
4 4 8
Direct
0.000 0.000 0.000
0.000 0.500 0.250
0.500 0.000 0.750
0.500 0.500 0.500
0.000 0.000 0.500
0.000 0.500 0.750
0.500 0.000 0.250
0.500 0.500 0.000
0.036 0.250 0.625
0.250 0.536 0.875
0.250 0.964 0.375
0.464 0.250 0.125
0.536 0.750 0.125
0.750 0.036 0.375
0.750 0.464 0.875
0.964 0.750 0.625

TiBeAl2 (PBE, optimized geometry); space-group type = P4/mmm (123); crystal system = tetragonal; formation energy from the elements = -315 meV/atom; DOS(E_F) = 0.350 states/eV per atom
1.0
3.838 0.000 0.000
0.000 3.838 0.000
0.000 0.000 3.808
Ti Be Al
1 1 2
Direct
0.000 0.000 0.000
0.500 0.500 0.000
0.000 0.500 0.500
0.500 0.000 0.500

Li2PaPb3Se6 (PBE, optimized geometry); energy relative to the elements, uncorrected = -922 meV per atom; space-group type = C2/m (12); crystal system = monoclinic; DOS(E_F) = 0.229 states/eV per atom
1.0
3.633 -6.307 0.000
3.633 6.307 0.000
-2.375 0.000 7.050
Li Pa Pb Se
2 1 3 6
Direct
0.174 0.826 0.000
0.826 0.174 0.000
0.500 0.500 0.000
0.000 0.000 0.500
0.335 0.665 0.500
0.665 0.335 0.500
0.097 0.423 0.777
0.251 0.251 0.233
0.423 0.097 0.777
0.577 0.903 0.223
0.749 0.749 0.767
0.903 0.577 0.223